(1)
Here is a relaxed V3PtN crystal from the Alexandria database. Energies are from PBE-GGA.

Cell lengths 4.8448, 6.1829, 4.8448 Å; angles 105.02, 109.78, 105.02 degrees
Last column: nearest neighbours and their distance in Å.
Positions (direct):
Pt 0.9592 0.2329 0.7232  10 V 2.76-2.79, 2 Pt 2.79
Pt 0.4592 0.2329 0.2232  10 V 2.76-2.79, 2 Pt 2.79
V 0.5841 0.4826 0.8486  2 N 1.96
V 0.0847 0.4826 0.3481  2 N 1.96
V 0.8336 0.9831 0.0982  2 N 1.96
V 0.2077 0.7329 0.9716  2 N 1.98
V 0.7107 0.7329 0.4747  2 N 1.98
V 0.3342 0.9831 0.5976  2 N 1.96
N 0.9592 0.7328 0.2231  6 V 1.96-1.98
N 0.4592 0.7328 0.7231  6 V 1.96-1.98

## Properties
Energy relative to the elements, uncorrected   -0.75 eV/atom
Density of states at the Fermi level   0.824 states/eV per atom
V   121.9 Å³ per cell

(2)
Here is a relaxed V3PtN crystal from the Alexandria database. Energies are from PBE-GGA.

Cell lengths 7.3520, 7.3520, 7.3520 Å; angles 60.00, 60.00, 60.00 degrees
Last column: nearest neighbours and their distance in Å.
Positions (direct):
V 0.1869 0.8131 0.8131  2 N 1.95
V 0.1869 0.1869 0.8131  2 N 1.95
V 0.4369 0.4369 0.0631  2 N 1.95
V 0.0631 0.4369 0.4369  2 N 1.95
V 0.4369 0.0631 0.0631  2 N 1.95
V 0.4369 0.0631 0.4369  2 N 1.95
V 0.8131 0.1869 0.8131  2 N 1.95
V 0.8131 0.1869 0.1869  2 N 1.95
V 0.1869 0.8131 0.1869  2 N 1.95
V 0.0631 0.0631 0.4369  2 N 1.95
V 0.0631 0.4369 0.0631  2 N 1.95
V 0.8131 0.8131 0.1869  2 N 1.95
Pt 0.6250 0.6250 0.6250  6 V 2.68
Pt 0.1250 0.6250 0.6250  6 V 2.68
Pt 0.6250 0.6250 0.1250  6 V 2.68
Pt 0.6250 0.1250 0.6250  6 V 2.68
N 0.6250 0.1250 0.1250  6 V 1.95
N 0.1250 0.1250 0.6250  6 V 1.95
N 0.1250 0.6250 0.1250  6 V 1.95
N 0.1250 0.1250 0.1250  6 V 1.95

## Properties
Energy relative to the elements, uncorrected   -0.32 eV/atom
Density of states at the Fermi level   0.864 states/eV per atom
V   281.0 Å³ per cell

(3)
Here is a relaxed V6Pt2N crystal from the Alexandria database. Energies are from PBE-GGA.

Cell lengths 2.8923, 6.8034, 6.8528 Å; angles 119.76, 90.00, 90.00 degrees
Last column: nearest neighbours and their distance in Å.
Positions (direct):
V 0.0000 0.7745 0.7888  2 N 2.15
V 0.5000 0.3473 0.3380  1 N 2.27, 2 V 2.51
V 0.5000 0.0093 0.6620  1 N 2.27, 2 V 2.51
V 0.5000 0.6122 0.0000  8 V 2.64-2.90, 4 Pt 2.65, 1 N 2.80
V 0.0000 0.2419 0.0000  2 N 2.07
V 0.0000 0.9857 0.2112  2 N 2.15
Pt 0.0000 0.3266 0.6475  9 V 2.63-2.75, 2 Pt 2.89
Pt 0.0000 0.6791 0.3525  9 V 2.63-2.75, 2 Pt 2.89
N 0.5000 0.0235 0.0000  8 V 2.07-2.27

## Properties
Energy relative to the elements, uncorrected   -0.40 eV/atom
Density of states at the Fermi level   0.957 states/eV per atom
V   117.1 Å³ per cell

(4)
Here is a relaxed V3PtN crystal from the Alexandria database. Energies are from PBE-GGA.

Cell lengths 10.0491, 7.1714, 7.1714 Å; angles 76.78, 122.93, 57.07 degrees
Last column: nearest neighbours and their distance in Å.
Positions (direct):
Pt 0.0863 0.4835 0.3901  8 V 2.65-2.80, 4 Pt 2.81-2.88
Pt 0.4137 0.8901 0.9835  8 V 2.65-2.80, 4 Pt 2.81-2.88
Pt 0.5863 0.1099 0.0165  8 V 2.65-2.80, 4 Pt 2.81-2.88
Pt 0.9137 0.5165 0.6099  8 V 2.65-2.80, 4 Pt 2.81-2.88
V 0.5918 0.3503 0.2682  2 N 1.98-2.02
V 0.5926 0.5988 0.5400  3 N 1.97-2.05
V 0.0792 0.7271 0.6306  1 N 1.96
V 0.4082 0.6497 0.7318  2 N 1.98-2.02
V 0.5792 0.8694 0.7729  1 N 1.96
V 0.0918 0.2318 0.1497  2 N 1.98-2.02
V 0.9082 0.7682 0.8503  2 N 1.98-2.02
V 0.4074 0.4012 0.4600  3 N 1.97-2.05
V 0.4208 0.1306 0.2271  1 N 1.96
V 0.9208 0.2729 0.3694  1 N 1.96
V 0.0926 0.9600 0.9012  3 N 1.97-2.05
V 0.9074 0.0400 0.0988  3 N 1.97-2.05
N 0.7500 0.1820 0.6820  6 V 1.97-2.05
N 0.2500 0.8180 0.3180  6 V 1.97-2.05
N 0.2500 0.5488 0.0488  6 V 1.96-2.02
N 0.7500 0.4512 0.9512  6 V 1.96-2.02

## Properties
Energy relative to the elements, uncorrected   -0.74 eV/atom
Density of states at the Fermi level   0.996 states/eV per atom
V   243.2 Å³ per cell

(5)
Here is a relaxed V3PtN crystal from the Alexandria database. Energies are from PBE-GGA.

Cell lengths 2.8262, 8.2270, 5.5997 Å; angles 110.96, 89.98, 90.01 degrees
Last column: nearest neighbours and their distance in Å.
Positions (direct):
N 0.2320 0.2332 0.1577  6 V 1.98-2.04
N 0.7317 0.5067 0.5553  6 V 1.98-2.04
V 0.2318 0.4991 0.3024  3 N 1.99-2.04
V 0.7318 0.7697 0.6704  1 N 2.02
V 0.7318 0.2408 0.4106  3 N 1.99-2.04
V 0.7322 0.2359 0.9109  2 N 1.98
V 0.2314 0.5041 0.8021  2 N 1.98
V 0.2319 0.9703 0.0426  1 N 2.02
Pt 0.7317 0.7343 0.1636  8 V 2.63-2.88, 4 Pt 2.83-2.86
Pt 0.2319 0.0057 0.5494  8 V 2.63-2.88, 4 Pt 2.83-2.86

## Properties
Energy relative to the elements, uncorrected   -0.74 eV/atom
Density of states at the Fermi level   0.820 states/eV per atom
V   121.6 Å³ per cell

(6)
Here is a relaxed V3PtN crystal from the Alexandria database. Energies are from PBE-GGA.

Cell lengths 20.2479, 5.1606, 8.0924 Å; angles 90.00, 162.65, 90.00 degrees
Last column: nearest neighbours and their distance in Å.
Positions (direct):
V 0.9361 0.6656 0.1584  1 N 1.97
V 0.3042 0.8967 0.9411  3 N 2.04-2.11
V 0.3393 0.4511 0.2139  2 N 1.97-1.98
V 0.1607 0.9511 0.2861  2 N 1.97-1.98
V 0.0639 0.3344 0.8416  1 N 1.97
V 0.5639 0.1656 0.3416  1 N 1.97
V 0.1958 0.3967 0.5589  3 N 2.04-2.11
V 0.6607 0.5489 0.7861  2 N 1.97-1.98
V 0.8042 0.6033 0.4411  3 N 2.04-2.11
V 0.8393 0.0489 0.7139  2 N 1.97-1.98
V 0.4361 0.8344 0.6584  1 N 1.97
V 0.6958 0.1033 0.0589  3 N 2.04-2.11
N 0.4659 0.2426 0.3340  6 V 1.97-2.11
N 0.9659 0.2574 0.8340  6 V 1.97-2.11
N 0.5341 0.7574 0.6660  6 V 1.97-2.11
N 0.0341 0.7426 0.1660  6 V 1.97-2.11
Pt 0.9878 0.1819 0.3584  7 V 2.54-2.79, 1 Pt 2.62
Pt 0.4878 0.3181 0.8584  7 V 2.54-2.79, 1 Pt 2.62
Pt 0.0122 0.8181 0.6416  7 V 2.54-2.79, 1 Pt 2.62
Pt 0.5122 0.6819 0.1416  7 V 2.54-2.79, 1 Pt 2.62

## Properties
Energy relative to the elements, uncorrected   -0.64 eV/atom
Density of states at the Fermi level   0.763 states/eV per atom
V   252.1 Å³ per cell

(7)
Here is a relaxed V3PtN crystal from the Alexandria database. Energies are from PBE-GGA.

Cell lengths 4.0366, 4.0366, 10.4103 Å; angles 78.82, 78.82, 90.00 degrees
Last column: nearest neighbours and their distance in Å.
Positions (direct):
V 0.1152 0.8640 0.7697  2 V 2.01-2.03
V 0.6337 0.8848 0.2303  2 V 2.01-2.03
V 0.3224 0.3224 0.3552  2 N 2.11
V 0.6776 0.6776 0.6448  2 N 2.11
V 0.1152 0.3663 0.7697  2 V 2.01-2.03
V 0.1360 0.8848 0.2303  2 V 2.01-2.03
N 0.8532 0.3532 0.2936  6 V 2.11-2.35
N 0.6468 0.1468 0.7064  6 V 2.11-2.35
Pt 0.2500 0.7500 0.5000  4 V 2.48
Pt 0.0000 0.0000 0.0000  4 V 2.52

## Properties
Energy relative to the elements, uncorrected   0.57 eV/atom
Density of states at the Fermi level   0.956 states/eV per atom
V   163.1 Å³ per cell

(8)
Here is a relaxed V3PtN crystal from the Alexandria database. Energies are from PBE-GGA.

Cell lengths 7.0258, 7.0258, 7.0258 Å; angles 40.83, 40.83, 40.83 degrees
Last column: nearest neighbours and their distance in Å.
Positions (direct):
N 0.1632 0.1632 0.1632  6 V 1.97-1.99
N 0.8368 0.8368 0.8368  6 V 1.97-1.99
V 0.2313 0.5486 0.8928  2 N 1.97-1.99
V 0.5486 0.8928 0.2313  2 N 1.97-1.99
V 0.8928 0.2313 0.5486  2 N 1.97-1.99
V 0.7687 0.4514 0.1072  2 N 1.97-1.99
V 0.4514 0.1072 0.7687  2 N 1.97-1.99
V 0.1072 0.7687 0.4514  2 N 1.97-1.99
Pt 0.6619 0.6619 0.6619  6 V 2.59-2.72, 3 Pt 2.84
Pt 0.3381 0.3381 0.3381  6 V 2.59-2.72, 3 Pt 2.84

## Properties
Energy relative to the elements, uncorrected   -0.49 eV/atom
Density of states at the Fermi level   0.733 states/eV per atom
V   133.8 Å³ per cell